[1]
# Ac2SnS, optimized geometry, DFT PBE
# space-group type: R3m, No. 160
# size of the total moment: 0.0 μB/f.u.
# total DFT energy (no corrections): -20.9 eV per cell
data_Ac2SnS
_chemical_formula_sum 'Ac2 Sn1 S1'
_symmetry_space_group_name_H-M 'P 1'
_symmetry_Int_Tables_number 1
_symmetry_space_group_name_Hall 'P 1'
_cell_length_a 4.522
_cell_length_b 4.522
_cell_length_c 8.335
_cell_angle_alpha 74.26
_cell_angle_beta 74.26
_cell_angle_gamma 60.00
loop_
_atom_site_label
_atom_site_fract_x
_atom_site_fract_y
_atom_site_fract_z
S1 0.497 0.497 0.509
Ac1 0.250 0.250 0.249
Ac2 0.085 0.085 0.745
Sn1 0.667 0.667 0.998


[2]
# ReHg2O6, optimized geometry, DFT PBE
# space-group type: C2/m, No. 12
# size of the total moment: 1.1 μB/f.u.
# total DFT energy (no corrections): -48.6 eV per cell
data_ReHg2O6
_chemical_formula_sum 'Re1 Hg2 O6'
_symmetry_space_group_name_H-M 'P 1'
_symmetry_Int_Tables_number 1
_symmetry_space_group_name_Hall 'P 1'
_cell_length_a 7.347
_cell_length_b 6.662
_cell_length_c 6.016
_cell_angle_alpha 123.62
_cell_angle_beta 52.49
_cell_angle_gamma 90.00
loop_
_atom_site_label
_atom_site_fract_x
_atom_site_fract_y
_atom_site_fract_z
O1 0.279 0.723 0.446
O2 0.183 0.198 0.006
O3 0.817 0.802 0.994
O4 0.817 0.192 0.994
O5 0.721 0.277 0.554
O6 0.183 0.808 0.006
Hg1 0.241 0.501 0.003
Hg2 0.759 0.499 0.997
Re1 0.000 0.000 0.000


[3]
# Hg2MoIr, optimized geometry, DFT PBE
# space-group type: Fm-3m, No. 225
# size of the total moment: 1.5 μB/f.u.
# total DFT energy (no corrections): -17.3 eV per cell
data_Hg2MoIr
_chemical_formula_sum 'Hg2 Mo1 Ir1'
_symmetry_space_group_name_H-M 'P 1'
_symmetry_Int_Tables_number 1
_symmetry_space_group_name_Hall 'P 1'
_cell_length_a 4.657
_cell_length_b 4.657
_cell_length_c 4.657
_cell_angle_alpha 60.00
_cell_angle_beta 60.00
_cell_angle_gamma 60.00
loop_
_atom_site_label
_atom_site_fract_x
_atom_site_fract_y
_atom_site_fract_z
Hg1 0.750 0.750 0.750
Hg2 0.250 0.250 0.250
Mo1 0.000 0.000 0.000
Ir1 0.500 0.500 0.500


[4]
# Rb2TlCu, optimized geometry, DFT PBE
# space-group type: Fm-3m, No. 225
# size of the total moment: 0.8 μB/f.u.
# total DFT energy (no corrections): -6.9 eV per cell
data_Rb2TlCu
_chemical_formula_sum 'Rb2 Tl1 Cu1'
_symmetry_space_group_name_H-M 'P 1'
_symmetry_Int_Tables_number 1
_symmetry_space_group_name_Hall 'P 1'
_cell_length_a 6.176
_cell_length_b 6.176
_cell_length_c 6.176
_cell_angle_alpha 60.00
_cell_angle_beta 60.00
_cell_angle_gamma 60.00
loop_
_atom_site_label
_atom_site_fract_x
_atom_site_fract_y
_atom_site_fract_z
Tl1 0.500 0.500 0.500
Cu1 0.000 0.000 0.000
Rb1 0.250 0.250 0.250
Rb2 0.750 0.750 0.750


[5]
# Pr2PaIn, optimized geometry, DFT PBE
# space-group type: P4/mmm, No. 123
# size of the total moment: 0.0 μB/f.u.
# total DFT energy (no corrections): -21.9 eV per cell
data_Pr2PaIn
_chemical_formula_sum 'Pr2 Pa1 In1'
_symmetry_space_group_name_H-M 'P 1'
_symmetry_Int_Tables_number 1
_symmetry_space_group_name_Hall 'P 1'
_cell_length_a 3.415
_cell_length_b 3.415
_cell_length_c 10.077
_cell_angle_alpha 90.00
_cell_angle_beta 90.00
_cell_angle_gamma 90.00
loop_
_atom_site_label
_atom_site_fract_x
_atom_site_fract_y
_atom_site_fract_z
Pr1 0.000 0.000 0.746
Pr2 0.000 0.000 0.254
In1 0.500 0.500 0.500
Pa1 0.500 0.500 0.000


[6]
# Tb6Pm4Mg, optimized geometry, DFT PBE
# space-group type: Fmm2, No. 42
# size of the total moment: 0.0 μB/f.u.
# total DFT energy (no corrections): -45.7 eV per cell
data_Tb6Pm4Mg
_chemical_formula_sum 'Tb6 Pm4 Mg1'
_symmetry_space_group_name_H-M 'P 1'
_symmetry_Int_Tables_number 1
_symmetry_space_group_name_Hall 'P 1'
_cell_length_a 9.518
_cell_length_b 9.785
_cell_length_c 9.785
_cell_angle_alpha 61.19
_cell_angle_beta 139.61
_cell_angle_gamma 139.61
loop_
_atom_site_label
_atom_site_fract_x
_atom_site_fract_y
_atom_site_fract_z
Tb1 0.651 0.172 0.172
Tb2 0.000 0.992 0.342
Tb3 0.500 0.000 0.500
Tb4 0.349 0.522 0.522
Tb5 0.500 0.500 0.000
Tb6 0.000 0.342 0.992
Pm1 0.000 0.012 0.661
Pm2 0.000 0.661 0.012
Pm3 0.347 0.822 0.822
Pm4 0.653 0.475 0.475
Mg1 0.000 0.003 0.003


[7]
# V2CdPt9, optimized geometry, DFT PBE
# space-group type: P4/mmm, No. 123
# size of the total moment: 1.1 μB/f.u.
# total DFT energy (no corrections): -78.4 eV per cell
data_V2CdPt9
_chemical_formula_sum 'V2 Cd1 Pt9'
_symmetry_space_group_name_H-M 'P 1'
_symmetry_Int_Tables_number 1
_symmetry_space_group_name_Hall 'P 1'
_cell_length_a 3.948
_cell_length_b 3.948
_cell_length_c 11.934
_cell_angle_alpha 90.00
_cell_angle_beta 90.00
_cell_angle_gamma 90.00
loop_
_atom_site_label
_atom_site_fract_x
_atom_site_fract_y
_atom_site_fract_z
Cd1 0.000 0.000 0.000
Pt1 0.000 0.500 0.820
Pt2 0.000 0.500 0.500
Pt3 0.500 0.500 0.661
Pt4 0.500 0.000 0.500
Pt5 0.500 0.000 0.820
Pt6 0.000 0.500 0.180
Pt7 0.500 0.500 0.339
Pt8 0.500 0.500 0.000
Pt9 0.500 0.000 0.180
V1 0.000 0.000 0.330
V2 0.000 0.000 0.670


[8]
# YMgSn3, optimized geometry, DFT PBE
# space-group type: Pm-3m, No. 221
# size of the total moment: 0.0 μB/f.u.
# total DFT energy (no corrections): -17.7 eV per cell
data_YMgSn3
_chemical_formula_sum 'Y1 Mg1 Sn3'
_symmetry_space_group_name_H-M 'P 1'
_symmetry_Int_Tables_number 1
_symmetry_space_group_name_Hall 'P 1'
_cell_length_a 5.790
_cell_length_b 5.790
_cell_length_c 5.790
_cell_angle_alpha 90.00
_cell_angle_beta 90.00
_cell_angle_gamma 90.00
loop_
_atom_site_label
_atom_site_fract_x
_atom_site_fract_y
_atom_site_fract_z
Sn1 0.500 0.000 0.000
Sn2 0.000 0.500 0.000
Sn3 0.000 0.000 0.500
Y1 0.000 0.000 0.000
Mg1 0.500 0.500 0.500